An optimized crystal structure of CaMnAg2F8. Source: the Alexandria database, functional GGA+U.

Results
The calculation puts the magnetization at 5.074 μB per formula unit. The raw total energy is -4.636 eV/atom.

Cell lengths 6.8826, 6.8826, 7.9407 Å; angles 90.00, 90.00, 90.00 degrees
With the nearest neighbours (Å) after each atom.
Space group I-4m2 (No. 119)
One atom of each set of equivalent atoms:
Ca1 0.0000 0.0000 0.0000 x2  4 F 2.20
Mn1 0.0000 0.5000 0.2500 x2  4 F 1.92
Ag1 0.0000 0.0000 0.5000 x2  4 F 2.34
Ag2 0.0000 0.5000 0.7500 x2  4 F 2.13
F1 0.0000 0.2226 0.2773 x8  1 Mn 1.92
F2 0.0000 0.3180 0.9670 x8  1 Ag 2.13, 1 Ca 2.20

***

An optimized crystal structure of CaMnAg2F6. Source: the Alexandria database, functional GGA+U.

Results
The calculation puts the magnetization at 5.000 μB per formula unit. The raw total energy is -4.995 eV/atom.

Cell lengths 5.9871, 5.9918, 5.9928 Å; angles 60.01, 60.16, 60.04 degrees
With the nearest neighbours (Å) after each atom.
Space group P-1 (No. 2)
One atom of each set of equivalent atoms:
Ca1 0.0000 0.0000 0.0000 x1  6 F 2.27
Mn1 0.5000 0.5000 0.5000 x1  6 F 2.14-2.16
Ag1 0.2575 0.2574 0.2274 x2  3 F 2.37
F1 0.1520 0.7369 0.7484 x2  1 Mn 2.16, 1 Ca 2.27, 1 Ag 2.37
F2 0.2639 0.6367 0.2524 x2  1 Mn 2.14, 1 Ca 2.27, 1 Ag 2.37
F3 0.3629 0.1520 0.7475 x2  1 Mn 2.15, 1 Ca 2.27, 1 Ag 2.37

***

An optimized crystal structure of CaMnAg2F. Source: the Alexandria database, functional GGA+U.

Results
The calculation puts the magnetization at 5.012 μB per formula unit. The raw total energy is -3.296 eV/atom.

Cell lengths 4.9371, 4.9371, 6.3318 Å; angles 90.00, 90.00, 90.00 degrees
With the nearest neighbours (Å) after each atom.
Space group P4/mmm (No. 123)
One atom of each set of equivalent atoms:
Ca1 0.0000 0.0000 0.0000 x1  2 Mn 3.17, 4 F 3.49
Mn1 0.0000 0.0000 0.5000 x1  4 Ag 2.47
Ag1 0.0000 0.5000 0.5000 x2  2 Mn 2.47
F1 0.5000 0.5000 0.0000 x1  4 Ca 3.49

***

An optimized crystal structure of CaAgMoF6. Source: the Alexandria database, functional GGA+U.

Results
The calculation puts the magnetization at 2.977 μB per formula unit. The raw total energy is -5.255 eV/atom.

Cell lengths 5.2752, 5.2752, 10.6666 Å; angles 90.00, 90.00, 90.00 degrees
With the nearest neighbours (Å) after each atom.
Space group P4_2nm (No. 102)
One atom of each set of equivalent atoms:
Ca1 0.0000 0.0000 0.0000 x2  6 F 2.28-2.33
Ag1 0.0000 0.0000 0.3290 x2  6 F 2.42-2.52
Mo1 0.0000 0.0000 0.6639 x2  6 F 2.11-2.12
F1 0.1762 0.1762 0.8197 x4  1 Mo 2.12, 1 Ca 2.33
F2 0.1959 0.1959 0.5213 x4  1 Mo 2.11, 1 Ca 2.28
F3 0.2180 0.2180 0.1512 x4  1 Mo 2.11, 1 Ca 2.29

***

An optimized crystal structure of CaAg2MoF8. Source: the Alexandria database, functional GGA+U.

Results
The calculation puts the magnetization at 1.975 μB per formula unit. The raw total energy is -4.813 eV/atom.

Cell lengths 4.7132, 5.8282, 7.2093 Å; angles 89.81, 89.78, 86.48 degrees
With the nearest neighbours (Å) after each atom.
Space group P-1 (No. 2)
One atom of each set of equivalent atoms:
Ca1 0.0000 0.0000 0.0000 x1  6 F 2.19-2.43
Ag1 0.4985 0.4942 0.7546 x2  6 F 2.35-2.62
Mo1 0.0000 0.0000 0.5000 x1  6 F 1.98-2.05
F1 0.1418 0.1829 0.7203 x2  1 Mo 2.05
F2 0.1473 0.1789 0.2854 x2  1 Mo 2.01
F3 0.3352 0.7782 0.4991 x2  1 Mo 1.98
F4 0.3699 0.7534 0.9942 x2  1 Ca 2.19, 2 Ag 2.35-2.37

***

magnetization of number 2 (CaMnAg2F6)?
5.000 μB per formula unit